Entry 1:
Computed, not measured: an optimized crystal structure of ZrScHg at the PBE level of DFT.

Lattice parameters (Å, degrees): 6.679 6.679 6.679 151.58 151.58 40.63
Sites, in units of the cell vectors:
1 Zr 0.000 0.000 0.000
2 Sc 0.331 0.331 0.000
3 Hg 0.669 0.669 0.000

E_form (eV per formula unit): -0.8
SG: I4mm (107)
Magnetic moment (Bohr magnetons per cell): 0.00
Offset from the most stable computed form (eV per atom): 0.000
DOS at the Fermi energy (states/eV/f.u.): 1.92

Entry 2:
Computed, not measured: an optimized crystal structure of SnSb2RuI at the PBE level of DFT.

Lattice parameters (Å, degrees): 5.076 5.076 5.743 90.00 90.00 90.00
Sites, in units of the cell vectors:
1 Sn 0.000 0.000 0.000
2 Sb 0.000 0.500 0.500
3 Sb 0.500 0.000 0.500
4 Ru 0.500 0.500 0.500
5 I 0.500 0.500 0.000

SG: P4/mmm (123)
Formation energy (no corrections) (meV per atom): 406
Magnetic moment (Bohr magnetons per cell): 0.00
Offset from the most stable computed form (eV per atom): 0.000
DOS at the Fermi energy (states/eV/f.u.): 5.08

Entry 3:
Computed, not measured: an optimized crystal structure of La14YPu at the PBE level of DFT.

Lattice parameters (Å, degrees): 10.424 7.382 7.382 90.00 90.00 90.00
Sites, in units of the cell vectors:
1 La 0.000 0.000 0.000
2 La 0.000 0.004 0.494
3 La 0.000 0.494 0.004
4 La 0.000 0.499 0.499
5 La 0.250 0.747 0.747
6 La 0.256 0.254 0.745
7 La 0.256 0.745 0.254
8 La 0.262 0.255 0.255
9 La 0.500 0.504 0.992
10 La 0.500 0.992 0.504
11 La 0.738 0.255 0.255
12 La 0.744 0.254 0.745
13 La 0.744 0.745 0.254
14 La 0.750 0.747 0.747
15 Y 0.500 0.999 0.999
16 Pu 0.500 0.500 0.500

E_form (eV per formula unit): 0.5
SG: Amm2 (38)
Magnetic moment (Bohr magnetons per cell): 6.84
DOS at the Fermi energy (states/eV/f.u.): 31.56

Entry 4:
Computed, not measured: an optimized crystal structure of CaAc7Pm3 at the PBE level of DFT.

Lattice parameters (Å, degrees): 8.371 8.371 7.017 94.43 94.43 83.88
Sites, in units of the cell vectors:
1 Ca 0.000 0.000 0.000
2 Ac 0.000 0.000 0.500
3 Ac 0.080 0.423 0.755
4 Ac 0.268 0.268 0.280
5 Ac 0.423 0.080 0.755
6 Ac 0.577 0.920 0.245
7 Ac 0.732 0.732 0.720
8 Ac 0.920 0.577 0.245
9 Pm 0.338 0.662 0.500
10 Pm 0.500 0.500 0.000
11 Pm 0.662 0.338 0.500

E_form (eV per formula unit): 2.6
SG: C2/m (12)
Magnetic moment (Bohr magnetons per cell): 0.00
DOS at the Fermi energy (states/eV/f.u.): 15.93